VASP calculation (PBE) on a geometry-optimized KInCuSn2 structure.

Output
Its formation enthalpy at 0 K is 17.00 kcal/mol of atoms. Its electronic total energy is -2.451 eV per atom. Its space group is P4/mmm (123).

a b c (Å): 5.6355 5.6355 6.4509
angles (deg): 90.00 90.00 90.00
With the nearest neighbours (Å) after each atom.
Sites, in units of the cell vectors:
K 0.0000 0.0000 0.0000  2 In 3.23
In 0.0000 0.0000 0.5000  4 Sn 2.82
Cu 0.5000 0.5000 0.0000  4 K 3.98, 8 Sn 4.28
Sn 0.0000 0.5000 0.5000  2 In 2.82
Sn 0.5000 0.0000 0.5000  2 In 2.82